[1]
# UZnOsRh

Crystalline UZnOsRh at its relaxed geometry (PBE, Alexandria).

Geometry as POSCAR:
```
UZnOsRh
1.0
-1.632 -2.682 3.343
-2.107 -3.938 -1.042
2.034 -4.004 0.926
Os Zn U Rh
1 1 1 1
direct
0.750 0.750 0.750
0.000 0.000 0.000
0.500 0.500 0.500
0.250 0.250 0.250
```

## Properties
Total magnetization: 1.17 μB/f.u.
E_tot: -31.9 eV per cell
Crystal system: cubic
DOS(E_F): 5.28 states/eV per cell
Formation energy: -0.7 eV per formula unit

---

[2]
# Tm6TeRu2

Crystalline Tm6TeRu2 at its relaxed geometry (PBE, Alexandria).

Geometry as POSCAR:
```
Tm6TeRu2
1.0
-6.474 3.435 4.131
0.350 -8.388 0.548
7.372 2.424 3.248
Tm Te Ru
12 2 4
direct
0.467 0.289 0.178
0.533 0.711 0.822
0.890 0.711 0.178
0.110 0.289 0.822
0.208 0.763 0.971
0.792 0.237 0.029
0.792 0.763 0.555
0.208 0.237 0.445
0.314 0.981 0.667
0.686 0.019 0.333
0.686 0.353 0.667
0.314 0.647 0.333
0.000 0.500 0.500
0.000 0.000 0.000
0.500 0.368 0.868
0.500 0.632 0.132
0.331 0.000 0.331
0.669 0.000 0.669
```

## Properties
ΔE_f (raw): -0.51 eV/atom
Total magnetization: 0.00 μB/f.u.
E_tot: -106.3 eV per cell
Crystal system: orthorhombic
DOS(E_F): 14.10 states/eV per cell